[1]
Computed, not measured: crystalline MnRh2 at its relaxed geometry at the GGA-PBEsol level of DFT.

Calculated values
Symmetry   P6/mmm
Polymorph energy (0 for the lowest one)   282 meV/atom
DFT formation energy   0.23 eV/atom

Cell lengths 4.2566, 4.2566, 2.6653 Å; angles 90.00, 90.00, 120.00 degrees
With the nearest neighbours (Å) after each atom.
Element x y z (fractional)
Mn 0.0000 0.0000 0.0000  2 Mn 2.67, 12 Rh 2.80
Rh 0.3333 0.6667 0.5000  5 Rh 2.46-2.67
Rh 0.6667 0.3333 0.5000  5 Rh 2.46-2.67

[2]
Computed, not measured: crystalline MnRh at its relaxed geometry at the GGA-PBEsol level of DFT.

Calculated values
Symmetry   Fd-3m
DFT formation energy   0.28 eV/atom

Cell lengths 4.2028, 4.2028, 4.2028 Å; angles 60.00, 60.00, 60.00 degrees
With the nearest neighbours (Å) after each atom.
Element x y z (fractional)
Mn 0.1250 0.1250 0.1250  4 Mn 2.57, 4 Rh 2.57
Mn 0.8750 0.8750 0.8750  4 Mn 2.57, 4 Rh 2.57
Rh 0.3750 0.3750 0.3750  4 Mn 2.57, 4 Rh 2.57
Rh 0.6250 0.6250 0.6250  4 Mn 2.57, 4 Rh 2.57

[3]
Computed, not measured: crystalline Mn3Rh at its relaxed geometry at the GGA-PBEsol level of DFT.

Calculated values
Symmetry   Immm
DFT formation energy   0.23 eV/atom

Cell lengths 4.8109, 4.8109, 4.8109 Å; angles 147.33, 129.02, 61.88 degrees
With the nearest neighbours (Å) after each atom.
Element x y z (fractional)
Mn 0.0000 0.0000 0.0000  4 Mn 2.36, 4 Rh 2.47
Mn 0.2341 0.7341 0.5000  6 Mn 2.36-2.49, 2 Rh 2.58
Mn 0.7659 0.2659 0.5000  6 Mn 2.36-2.49, 2 Rh 2.58
Rh 0.5000 0.5000 0.0000  8 Mn 2.47-2.58, 2 Rh 2.71